Zr2TcIr: optimized geometry, PBE-GGA.

- M_tot (μB per formula unit) = 0.00
- ρ (Mg/m³) = 10.29
- ΔH_f (0 K) (eV/atom) = -0.232

Cell: 3.6632 3.6632 5.6848 Å, 90.00 90.00 90.00°
Space group P4mm (No. 99)
Unique sites:
Zr  0.0000  0.0000  0.0000 (multiplicity 1)
Zr  0.5000  0.5000  0.3426 (multiplicity 1)
Tc  0.5000  0.5000  0.8456 (multiplicity 1)
Ir  0.0000  0.0000  0.4986 (multiplicity 1)



ZrTcIr: optimized geometry, PBE-GGA.

- M_tot (μB per formula unit) = 0.00
- ρ (Mg/m³) = 12.50
- ΔH_f (0 K) (eV/atom) = -0.317

Cell: 14.1986 3.0047 4.8416 Å, 90.00 101.00 90.00°
Space group Cm (No. 8)
Unique sites:
Zr  0.0000  0.0000  0.0000 (multiplicity 2)
Zr  0.1811  0.0000  0.6347 (multiplicity 2)
Tc  0.1787  0.5000  0.1436 (multiplicity 2)
Tc  0.3508  0.5000  0.5332 (multiplicity 2)
Ir  0.0102  0.5000  0.5018 (multiplicity 2)
Ir  0.3342  0.0000  0.0807 (multiplicity 2)



ZrTcIr: optimized geometry, PBE-GGA.

- M_tot (μB per formula unit) = 0.00
- ρ (Mg/m³) = 10.71
- ΔH_f (0 K) (eV/atom) = 0.528

Cell: 6.1849 6.1849 6.1849 Å, 90.00 90.00 90.00°
Space group F-43m (No. 216)
Unique sites:
Zr  0.0000  0.0000  0.0000 (multiplicity 4)
Tc  0.2500  0.2500  0.2500 (multiplicity 4)
Ir  0.2500  0.2500  0.7500 (multiplicity 4)



Zr2Tc2Ir: optimized geometry, PBE-GGA.

- M_tot (μB per formula unit) = 0.00
- ρ (Mg/m³) = 10.26
- ΔH_f (0 K) (eV/atom) = -0.176

Cell: 6.6271 6.6271 4.2075 Å, 90.00 90.00 90.00°
Space group P4/mbm (No. 127)
Unique sites:
Zr  0.1816  0.3184  0.0000 (multiplicity 4)
Tc  0.1235  0.6235  0.5000 (multiplicity 4)
Ir  0.0000  0.0000  0.5000 (multiplicity 2)



Zr2TcIr: optimized geometry, PBE-GGA.

- M_tot (μB per formula unit) = 0.00
- ρ (Mg/m³) = 10.93
- ΔH_f (0 K) (eV/atom) = -0.680

Cell: 3.3219 3.3219 6.5063 Å, 90.00 90.00 90.00°
Space group P4/mmm (No. 123)
Unique sites:
Zr  0.0000  0.0000  0.2465 (multiplicity 2)
Tc  0.5000  0.5000  0.0000 (multiplicity 1)
Ir  0.5000  0.5000  0.5000 (multiplicity 1)



ZrTcIr: optimized geometry, PBE-GGA.

- M_tot (μB per formula unit) = 0.00
- ρ (Mg/m³) = 12.63
- ΔH_f (0 K) (eV/atom) = -0.070

Cell: 4.5215 4.5215 2.8319 Å, 90.00 90.00 120.00°
Space group P3m1 (No. 156)
Unique sites:
Zr  0.0000  0.0000  0.0000 (multiplicity 1)
Tc  0.3333  0.6667  0.7260 (multiplicity 1)
Ir  0.6667  0.3333  0.3369 (multiplicity 1)



Zr2TcIr2: optimized geometry, PBE-GGA.

- M_tot (μB per formula unit) = 0.00
- ρ (Mg/m³) = 11.99
- ΔH_f (0 K) (eV/atom) = -0.419

Cell: 6.6925 6.6925 4.1135 Å, 90.00 90.00 90.00°
Space group P4/mbm (No. 127)
Unique sites:
Zr  0.1769  0.3231  0.0000 (multiplicity 4)
Tc  0.0000  0.0000  0.5000 (multiplicity 2)
Ir  0.1345  0.6345  0.5000 (multiplicity 4)



ZrTc4Ir: optimized geometry, PBE-GGA.

- M_tot (μB per formula unit) = 0.00
- ρ (Mg/m³) = 11.61
- ΔH_f (0 K) (eV/atom) = -0.016

Cell: 7.2846 7.2846 7.2846 Å, 90.00 90.00 90.00°
Space group F-43m (No. 216)
Unique sites:
Zr  0.0000  0.0000  0.0000 (multiplicity 4)
Tc  0.1249  0.1249  0.3751 (multiplicity 16)
Ir  0.2500  0.2500  0.7500 (multiplicity 4)



Zr2TcIr: optimized geometry, PBE-GGA.

- M_tot (μB per formula unit) = 0.00
- ρ (Mg/m³) = 10.63
- ΔH_f (0 K) (eV/atom) = -0.206

Cell: 3.1632 3.1632 25.5559 Å, 90.00 90.00 120.00°
Space group R-3m (No. 166, hexagonal axes)
Unique sites:
Zr  0.0000  0.0000  0.2486 (multiplicity 6)
Tc  0.0000  0.0000  0.5000 (multiplicity 3)
Ir  0.0000  0.0000  0.0000 (multiplicity 3)



ZrTcIr: optimized geometry, PBE-GGA.

- M_tot (μB per formula unit) = 0.00
- ρ (Mg/m³) = 12.60
- ΔH_f (0 K) (eV/atom) = -0.366

Cell: 4.7448 3.0841 6.9756 Å, 90.00 99.88 90.00°
Space group Pm (No. 6)
Unique sites:
Zr  0.0000  0.0000  0.0000 (multiplicity 1)
Zr  0.4156  0.0000  0.6467 (multiplicity 1)
Tc  0.7353  0.0000  0.3341 (multiplicity 1)
Tc  0.9150  0.5000  0.6457 (multiplicity 1)
Ir  0.2323  0.5000  0.3170 (multiplicity 1)
Ir  0.4990  0.5000  0.9897 (multiplicity 1)



Zr5TcIr4: optimized geometry, PBE-GGA.

- M_tot (μB per formula unit) = 0.00
- ρ (Mg/m³) = 12.19
- ΔH_f (0 K) (eV/atom) = -0.743

Cell: 3.3662 3.3662 15.9082 Å, 90.00 90.00 90.00°
Space group P4/mmm (No. 123)
Unique sites:
Zr  0.0000  0.0000  0.0000 (multiplicity 1)
Zr  0.0000  0.0000  0.1997 (multiplicity 2)
Zr  0.0000  0.0000  0.4009 (multiplicity 2)
Tc  0.5000  0.5000  0.5000 (multiplicity 1)
Ir  0.5000  0.5000  0.0994 (multiplicity 2)
Ir  0.5000  0.5000  0.2972 (multiplicity 2)



ZrTcIr: optimized geometry, PBE-GGA.

- M_tot (μB per formula unit) = 0.00
- ρ (Mg/m³) = 12.31
- ΔH_f (0 K) (eV/atom) = -0.536

Cell: 5.0433 7.5904 5.3765 Å, 90.00 90.00 90.00°
Space group Ima2 (No. 46)
Unique sites:
Zr  0.2500  0.1264  0.0000 (multiplicity 4)
Tc  0.0000  0.0000  0.5125 (multiplicity 4)
Ir  0.2500  0.7372  0.7288 (multiplicity 4)



> ρ of number 8 (ZrTc4Ir)?

11.61 Mg/m³